# 1
A plane-wave DFT calculation with PBE was carried out for an optimized crystal structure of ErIn2Br8.

Cell lengths 8.547, 8.547, 7.046 Å; angles 96.28, 96.28, 64.41 degrees
Positions (direct):
Er: 0.000 0.000 0.000
In: 0.182 0.182 0.634
In: 0.818 0.818 0.366
Br: 0.132 0.712 0.221
Br: 0.170 0.170 0.245
Br: 0.288 0.868 0.779
Br: 0.354 0.354 0.756
Br: 0.646 0.646 0.244
Br: 0.712 0.132 0.221
Br: 0.830 0.830 0.755
Br: 0.868 0.288 0.779

- space-group type = C2/m, No. 12
- formation energy from raw total energies (eV/atom) = -1.063
- mass density (Mg/m³) = 3.7
- crystal system = monoclinic


# 2
A plane-wave DFT calculation with PBE was carried out for an optimized crystal structure of NaFe2AgRu.

Cell lengths 4.610, 4.610, 5.245 Å; angles 90.00, 90.00, 90.00 degrees
Positions (direct):
Na: 0.000 0.000 0.000
Fe: 0.000 0.500 0.500
Fe: 0.500 0.000 0.500
Ag: 0.500 0.500 0.000
Ru: 0.500 0.500 0.500

- uncorrected energy (eV for the cell shown) = -25.2
- space-group type = P4/mmm, No. 123
- mass density (Mg/m³) = 5.1
- crystal system = tetragonal


# 3
A plane-wave DFT calculation with PBE was carried out for an optimized crystal structure of MoAu2Br.

Cell lengths 6.272, 6.272, 6.272 Å; angles 100.68, 100.68, 128.99 degrees
Positions (direct):
Mo: 0.000 0.000 0.000
Mo: 0.750 0.250 0.500
Au: 0.103 0.125 0.478
Au: 0.375 0.897 0.022
Au: 0.647 0.625 0.522
Au: 0.875 0.353 0.978
Br: 0.250 0.750 0.500
Br: 0.500 0.500 0.000

- space-group type = I-42d, No. 122
- formation energy from raw total energies (eV/atom) = 0.635
- mass density (Mg/m³) = 10.9
- crystal system = tetragonal


# 4
A plane-wave DFT calculation with PBE was carried out for an optimized crystal structure of HoScPt2.

Cell lengths 3.343, 3.343, 6.970 Å; angles 90.00, 90.00, 90.00 degrees
Positions (direct):
Ho: 0.000 0.000 0.000
Sc: 0.000 0.000 0.500
Pt: 0.500 0.500 0.270
Pt: 0.500 0.500 0.730

- uncorrected energy (eV for the cell shown) = -27.9
- space-group type = P4/mmm, No. 123
- mass density (Mg/m³) = 12.8
- crystal system = tetragonal


What is the formula in the second record? NaFe2AgRu


The highest mass density belongs to which entry? HoScPt2